1.
The following is a DFT calculation (PBE-GGA) of a geometry-optimized Al2RePdPt structure.

Results
Symmetry ... P4/mmm (123)
ΔH_f (0 K) ... 0.978 eV per atom

a b c (Å): 4.691 4.741 4.691
angles (deg): 90.00 90.00 90.00
Atoms (fractional coordinates):
Al 0.000 0.000 0.500
Al 0.500 0.000 0.000
Pt 0.500 0.500 0.500
Re 0.000 0.000 0.000
Pd 0.000 0.500 0.000

2.
The following is a DFT calculation (PBE-GGA) of a geometry-optimized AgSb2Se structure.

Results
Symmetry ... P2/m (10)
Formation energy from raw total energies ... 0.08 eV/atom

a b c (Å): 4.052 3.019 8.131
angles (deg): 90.24 90.00 90.00
Atoms (fractional coordinates):
Ag 0.500 0.750 0.750
Sb 0.000 0.251 0.527
Se 0.500 0.250 0.250
Sb 0.000 0.249 0.973

3.
The following is a DFT calculation (PBE-GGA) of a geometry-optimized Th2TiSi3Ir4 structure.

Results
Symmetry ... P-4m2 (115)
Formation energy from raw total energies ... -1.05 eV/atom

a b c (Å): 4.154 4.154 10.381
angles (deg): 90.00 90.00 90.00
Atoms (fractional coordinates):
Ir 0.500 0.000 0.640
Th 0.500 0.000 0.247
Th 0.000 0.500 0.753
Si 0.000 0.000 0.500
Ir 0.000 0.000 0.000
Ir 0.000 0.500 0.360
Ir 0.500 0.500 0.000
Si 0.500 0.000 0.873
Ti 0.500 0.500 0.500
Si 0.000 0.500 0.127

4.
The following is a DFT calculation (PBE-GGA) of a geometry-optimized MgSnHO structure.

Results
Symmetry ... Cm (8)
Energy above the lowest structure with this stoichiometry ... 0.0 kJ/mol of formula units

a b c (Å): 7.071 3.324 5.589
angles (deg): 90.00 105.86 90.00
Atoms (fractional coordinates):
H 0.176 0.000 0.348
O 0.030 0.000 0.297
H 0.176 0.500 0.848
Mg 0.911 0.000 0.593
O 0.030 0.500 0.797
Mg 0.911 0.500 0.093
Sn 0.532 0.500 0.301
Sn 0.532 0.000 0.801

5.
The following is a DFT calculation (PBE-GGA) of a geometry-optimized FeAs4 structure.

Results
Symmetry ... Pm-3m (221)
ΔH_f (0 K) ... 0.466 eV per atom

a b c (Å): 4.566 4.566 4.566
angles (deg): 90.00 90.00 90.00
Atoms (fractional coordinates):
As 0.500 0.000 0.500
As 0.500 0.500 0.000
As 0.000 0.000 0.000
As 0.000 0.500 0.500
Fe 0.500 0.500 0.500

6.
The following is a DFT calculation (PBE-GGA) of a geometry-optimized TaV2Os3 structure.

Results
Symmetry ... P4/mmm (123)
ΔH_f (0 K) ... -0.259 eV per atom

a b c (Å): 2.971 2.971 9.959
angles (deg): 90.00 90.00 90.00
Atoms (fractional coordinates):
V 0.500 0.500 0.841
Os 0.000 0.000 0.304
Ta 0.500 0.500 0.500
V 0.500 0.500 0.159
Os 0.000 0.000 0.000
Os 0.000 0.000 0.696

7.
The following is a DFT calculation (PBE-GGA) of a geometry-optimized BaCu4S3 structure.

Results
Symmetry ... Cmcm (63)
Formation energy from raw total energies ... -0.64 eV/atom

a b c (Å): 7.546 7.546 10.190
angles (deg): 90.00 90.00 149.64
Atoms (fractional coordinates):
Cu 0.907 0.093 0.023
S 0.349 0.651 0.551
Cu 0.495 0.505 0.627
S 0.943 0.057 0.250
S 0.057 0.943 0.750
Cu 0.495 0.505 0.873
Cu 0.093 0.907 0.977
S 0.651 0.349 0.051
Cu 0.907 0.093 0.477
Cu 0.093 0.907 0.523
S 0.651 0.349 0.449
Ba 0.255 0.745 0.250
Ba 0.745 0.255 0.750
Cu 0.505 0.495 0.127
S 0.349 0.651 0.949
Cu 0.505 0.495 0.373

8.
The following is a DFT calculation (PBE-GGA) of a geometry-optimized HfAsPd structure.

Results
Symmetry ... Cm (8)
ΔH_f (0 K) ... -0.714 eV per atom

a b c (Å): 6.650 3.607 10.037
angles (deg): 90.00 113.35 90.00
Atoms (fractional coordinates):
Pd 0.055 0.000 0.771
As 0.706 0.500 0.317
As 0.706 0.000 0.817
As 0.343 0.000 0.033
Pd 0.746 0.500 0.587
Hf 0.415 0.500 0.837
Pd 0.746 0.000 0.087
Hf 0.013 0.000 0.494
Pd 0.055 0.500 0.271
As 0.343 0.500 0.533
Hf 0.415 0.000 0.337
Hf 0.013 0.500 0.994

| no. | raw total energy (eV/atom) |
| --- | --- |
| 1 | -5.255 |
| 2 | -3.562 |
| 3 | -8.498 |
| 4 | -4.555 |
| 5 | -4.947 |
| 6 | -10.889 |
| 7 | -4.480 |
| 8 | -7.312 |